# 1
A geometry-optimized Tb2SmIn3Se6 structure. Source: the Alexandria database, functional PBE.

Values from the calculation:
- magnetic moment (μB per atom) = 0.000
- uncorrected formation energy (meV per atom) = -1301

abc: 7.257 7.257 8.107
angles: 98.58 98.58 119.99
Element x y z (fractional)
Tb: 0.167 0.833 0.000
Tb: 0.833 0.167 0.000
Sm: 0.500 0.500 0.000
In: 0.000 0.000 0.500
In: 0.334 0.666 0.500
In: 0.666 0.334 0.500
Se: 0.092 0.430 0.789
Se: 0.232 0.232 0.210
Se: 0.430 0.092 0.789
Se: 0.570 0.908 0.211
Se: 0.768 0.768 0.790
Se: 0.908 0.570 0.211

***

# 2
A geometry-optimized K2TlPt2 structure. Source: the Alexandria database, functional PBE.

Values from the calculation:
- DOS at the Fermi energy (states/eV/f.u.) = 3.01
- magnetic moment (μB per atom) = 0.000
- distance to the lowest polymorph of the same formula (meV per atom) = 94
- formation energy from the elements (eV per formula unit) = -0.42

abc: 7.071 7.071 5.379
angles: 90.00 90.00 90.00
Element x y z (fractional)
K: 0.171 0.329 0.000
K: 0.329 0.829 0.000
K: 0.671 0.171 0.000
K: 0.829 0.671 0.000
Tl: 0.000 0.000 0.500
Tl: 0.500 0.500 0.500
Pt: 0.130 0.630 0.500
Pt: 0.370 0.130 0.500
Pt: 0.630 0.870 0.500
Pt: 0.870 0.370 0.500

***

# 3
A geometry-optimized Ba2Bi2H4Ir structure. Source: the Alexandria database, functional PBE.

Values from the calculation:
- DOS at the Fermi energy (states/eV/f.u.) = 4.93
- magnetic moment (μB per atom) = 0.000
- final energy (eV/atom) = -4.020

abc: 6.452 6.452 6.452
angles: 115.94 115.94 97.18
Element x y z (fractional)
Ba: 0.250 0.750 0.500
Ba: 0.750 0.250 0.500
Bi: 0.175 0.175 0.000
Bi: 0.825 0.825 0.000
H: 0.324 0.324 0.648
H: 0.324 0.676 0.000
H: 0.676 0.324 0.000
H: 0.676 0.676 0.352
Ir: 0.500 0.500 0.000